Computed, not measured: crystalline YHfSb2Ru at its relaxed geometry at the PBE level of DFT. Values from VASP.

```
&SYSTEM
  ibrav = 0, nat = 5, ntyp = 4
/
ATOMIC_SPECIES
Y 88.91 Y.upf
Hf 178.49 Hf.upf
Sb 121.76 Sb.upf
Ru 101.07 Ru.upf
CELL_PARAMETERS angstrom
5.470 0.000 0.000
0.000 5.470 0.000
0.000 0.000 4.706
ATOMIC_POSITIONS crystal
Y 0.000 0.000 0.000
Hf 0.500 0.500 0.500
Sb 0.000 0.500 0.500
Sb 0.500 0.000 0.500
Ru 0.500 0.500 0.000
```

## Properties
E_form (uncorrected) in eV per atom: 0.304
Space group: P4/mmm
Crystal system: tetragonal
Density of states at the Fermi level in states/eV per atom: 0.87

---

Computed, not measured: crystalline Na4Tl2InPb2 at its relaxed geometry at the PBE level of DFT. Values from VASP.

```
&SYSTEM
  ibrav = 0, nat = 9, ntyp = 4
/
ATOMIC_SPECIES
Na 22.99 Na.upf
Tl 204.38 Tl.upf
In 114.82 In.upf
Pb 207.20 Pb.upf
CELL_PARAMETERS angstrom
6.153 0.000 0.000
1.062 6.101 0.000
2.346 1.984 7.183
ATOMIC_POSITIONS crystal
Na 0.117 0.185 0.275
Na 0.168 0.229 0.813
Na 0.832 0.771 0.187
Na 0.883 0.815 0.725
Tl 0.317 0.667 0.906
Tl 0.683 0.333 0.094
In 0.500 0.000 0.500
Pb 0.299 0.608 0.390
Pb 0.701 0.392 0.610
```

## Properties
Energy of formation from the pure elements in eV per atom: -0.087
Space group: P-1
Crystal system: triclinic
Density of states at the Fermi level in states/eV per atom: 0.40

---

Sequential total energy output: -6.48; -2.33 eV per atom